No. 1
Below is Hf2GaH3 after structural relaxation, with properties calculated at the PBE level.

crystal system = monoclinic
M_tot = 0.00 μB per formula unit
space-group type = No. 12
calculated total energy = -35.41 eV per formula unit

Cell: 6.674 6.674 6.793 Å, 112.66 112.66 29.06°
Sites, in units of the cell vectors:
Hf: 0.031 0.031 0.275
Hf: 0.294 0.294 0.294
Hf: 0.706 0.706 0.706
Hf: 0.969 0.969 0.725
Ga: 0.379 0.379 0.965
Ga: 0.621 0.621 0.035
H: 0.100 0.100 0.637
H: 0.195 0.195 0.478
H: 0.426 0.426 0.566
H: 0.574 0.574 0.434
H: 0.805 0.805 0.522
H: 0.900 0.900 0.363

---

No. 2
Below is AgSe after structural relaxation, with properties calculated at the PBE level.

energy relative to the elements, uncorrected = 9.9 kJ per mole of atoms
crystal system = hexagonal
M_tot = 0.00 μB per formula unit
space-group type = No. 186

Cell: 4.096 4.096 7.284 Å, 90.00 90.00 120.00°
Sites, in units of the cell vectors:
Ag: 0.333 0.667 0.000
Ag: 0.667 0.333 0.500
Se: 0.333 0.667 0.647
Se: 0.667 0.333 0.147

---

No. 3
Below is NiIrRu2 after structural relaxation, with properties calculated at the PBE level.

crystal system = monoclinic
M_tot = 0.00 μB per formula unit
space-group type = No. 12
energy of formation from the pure elements = 8.0 kJ per mole of atoms
energy above the lowest structure with this stoichiometry = 0.18 eV/f.u.

Cell: 4.639 4.639 4.581 Å, 99.68 99.68 33.68°
Sites, in units of the cell vectors:
Ni: 0.000 0.000 0.000
Ir: 0.500 0.500 0.500
Ru: 0.249 0.249 0.753
Ru: 0.751 0.751 0.247

---

Which value of M_tot does entry 3 give? 0.00 μB per formula unit

---

M_tot of number 2 (AgSe)? 0.00 μB per formula unit

---

What is the M_tot in the second record? 0.00 μB per formula unit

---

Which formula does entry 2 have? AgSe